(1)
The following is a DFT calculation (PBE-GGA) of a geometry-optimized YTiF2 structure.

Lattice parameters (Å, degrees): 7.765 7.765 7.765 23.41 23.41 23.41
Last column: magnetic moment on the atom in μB.
Atoms (fractional coordinates):
Y 0.500 0.500 0.500  0.05
F 0.907 0.907 0.907  0.01
F 0.093 0.093 0.093  0.01
Ti 0.000 0.000 0.000  1.07

Properties
Space group: R-3m, No. 166
Fermi-level density of states, states/eV per cell: 4.4
Formation energy (no corrections), eV per atom: -1.938
VASP energy, eV per atom: -6.4630
Energy above the lowest structure with this stoichiometry, meV/atom: 0


(2)
The following is a DFT calculation (PBE-GGA) of a geometry-optimized YTiF6 structure.

Lattice parameters (Å, degrees): 4.991 4.991 5.310 96.20 96.20 114.84
Last column: magnetic moment on the atom in μB.
Atoms (fractional coordinates):
Y 0.000 0.000 0.000  0.01
Ti 0.500 0.500 0.500  0.91
F 0.246 0.246 0.713  -0.01
F 0.437 0.132 0.250  0.01
F 0.754 0.754 0.287  -0.01
F 0.868 0.563 0.750  0.01
F 0.563 0.868 0.750  0.01
F 0.132 0.437 0.250  0.01

Properties
Space group: C2/m, No. 12
Fermi-level density of states, states/eV per cell: 3.6
Formation energy (no corrections), eV per atom: -3.614
VASP energy, eV per atom: -6.8126


(3)
The following is a DFT calculation (PBE-GGA) of a geometry-optimized YTiF3 structure.

Lattice parameters (Å, degrees): 4.517 4.517 4.517 90.00 90.00 90.00
Last column: magnetic moment on the atom in μB.
Atoms (fractional coordinates):
Y 0.000 0.000 0.000  0.11
F 0.000 0.500 0.000  0.05
F 0.000 0.000 0.500  0.03
F 0.500 0.000 0.000  0.04
Ti 0.500 0.500 0.500  2.34

Properties
Space group: Pm-3m, No. 221
Fermi-level density of states, states/eV per cell: 7.5
Formation energy (no corrections), eV per atom: -2.229
VASP energy, eV per atom: -6.2240
Energy above the lowest structure with this stoichiometry, meV/atom: 0


(4)
The following is a DFT calculation (PBE-GGA) of a geometry-optimized YTiF3 structure.

Lattice parameters (Å, degrees): 4.250 4.250 4.250 90.00 90.00 90.00
Last column: magnetic moment on the atom in μB.
Atoms (fractional coordinates):
Y 0.500 0.500 0.500  0.86
F 0.000 0.500 0.000  0.05
F 0.000 0.000 0.500  0.02
F 0.500 0.000 0.000  0.06
Ti 0.000 0.000 0.000  1.74

Properties
Space group: Pm-3m, No. 221
Fermi-level density of states, states/eV per cell: 5.2
Formation energy (no corrections), eV per atom: -2.107
VASP energy, eV per atom: -6.1019
Energy above the lowest structure with this stoichiometry, meV/atom: 122


(5)
The following is a DFT calculation (PBE-GGA) of a geometry-optimized Ti2ZnF structure.

Lattice parameters (Å, degrees): 4.363 4.363 4.363 60.00 60.00 60.00
Atoms (fractional coordinates):
Zn 0.500 0.500 0.500
F 0.000 0.000 0.000
Ti 0.250 0.250 0.250
Ti 0.750 0.750 0.750

Properties
Space group: Fm-3m, No. 225
Fermi-level density of states, states/eV per cell: 8.2
Formation energy (no corrections), eV per atom: -0.377
VASP energy, eV per atom: -5.1113
Energy above the lowest structure with this stoichiometry, meV/atom: 36


(6)
The following is a DFT calculation (PBE-GGA) of a geometry-optimized TiZn2F structure.

Lattice parameters (Å, degrees): 4.447 4.447 4.447 60.00 60.00 60.00
Last column: magnetic moment on the atom in μB.
Atoms (fractional coordinates):
Zn 0.250 0.250 0.250  0.01
Zn 0.750 0.750 0.750  0.01
F 0.000 0.000 0.000  0.01
Ti 0.500 0.500 0.500  0.31

Properties
Space group: Fm-3m, No. 225
Fermi-level density of states, states/eV per cell: 3.4
Formation energy (no corrections), eV per atom: -0.096
VASP energy, eV per atom: -3.1747
Energy above the lowest structure with this stoichiometry, meV/atom: 430


(7)
The following is a DFT calculation (PBE-GGA) of a geometry-optimized Ti2ZnF structure.

Lattice parameters (Å, degrees): 4.880 4.880 6.807 68.99 68.99 90.00
Atoms (fractional coordinates):
Zn 0.000 0.000 0.000
Zn 0.750 0.250 0.500
F 0.500 0.500 0.000
F 0.250 0.750 0.500
Ti 0.519 0.125 0.250
Ti 0.231 0.625 0.250
Ti 0.375 0.481 0.750
Ti 0.875 0.769 0.750

Properties
Space group: I-42d, No. 122
Fermi-level density of states, states/eV per cell: 7.3
Formation energy (no corrections), eV per atom: -0.413
VASP energy, eV per atom: -5.1470
Energy above the lowest structure with this stoichiometry, meV/atom: 0


(8)
The following is a DFT calculation (PBE-GGA) of a geometry-optimized TiZn2F structure.

Lattice parameters (Å, degrees): 7.364 7.364 5.688 49.66 49.66 90.00
Last column: magnetic moment on the atom in μB.
Atoms (fractional coordinates):
Zn 0.580 0.125 0.250  0.02
Zn 0.170 0.625 0.250  0.02
Zn 0.375 0.420 0.750  0.03
Zn 0.875 0.830 0.750  0.02
F 0.500 0.500 0.000  0.07
F 0.250 0.750 0.500  0.07
Ti 0.000 0.000 0.000  1.39
Ti 0.750 0.250 0.500  1.40

Properties
Space group: I-42d, No. 122
Fermi-level density of states, states/eV per cell: 8.2
Formation energy (no corrections), eV per atom: -0.526
VASP energy, eV per atom: -3.6047
Energy above the lowest structure with this stoichiometry, meV/atom: 0


(9)
The following is a DFT calculation (PBE-GGA) of a geometry-optimized TiZnF structure.

Lattice parameters (Å, degrees): 2.794 2.794 12.824 90.00 90.00 120.00
Atoms (fractional coordinates):
Zn 0.556 0.111 0.000
Zn 0.556 0.111 0.500
F 0.556 0.111 0.290
F 0.556 0.111 0.710
Ti 0.222 0.444 0.819
Ti 0.222 0.444 0.181

Properties
Space group: P-6m2, No. 187
Fermi-level density of states, states/eV per cell: 4.6
Formation energy (no corrections), eV per atom: -1.367
VASP energy, eV per atom: -5.0475


(10)
The following is a DFT calculation (PBE-GGA) of a geometry-optimized TiZnF5 structure.

Lattice parameters (Å, degrees): 10.029 5.526 7.739 66.26 90.00 90.00
Last column: magnetic moment on the atom in μB.
Atoms (fractional coordinates):
Ti 0.758 0.037 0.584  0.92
Ti 0.258 0.963 0.916  0.92
Ti 0.242 0.963 0.416  0.92
Ti 0.742 0.037 0.084  0.92
Zn 0.989 0.469 0.721  0.00
Zn 0.489 0.531 0.779  0.00
Zn 0.011 0.531 0.279  0.00
Zn 0.511 0.469 0.221  0.00
F 0.895 0.344 0.538  0.00
F 0.395 0.656 0.962  0.00
F 0.105 0.656 0.462  0.00
F 0.605 0.344 0.038  0.00
F 0.616 0.285 0.461  -0.01
F 0.116 0.715 0.039  -0.01
F 0.384 0.715 0.539  -0.01
F 0.884 0.285 0.961  -0.01
F 0.413 0.189 0.814  0.00
F 0.913 0.811 0.686  0.00
F 0.587 0.811 0.186  0.00
F 0.087 0.189 0.314  0.00
F 0.149 0.287 0.849  0.01
F 0.649 0.713 0.651  0.01
F 0.851 0.713 0.151  0.01
F 0.351 0.287 0.349  0.01
F 0.710 0.043 0.829  -0.01
F 0.210 0.957 0.671  -0.01
F 0.290 0.957 0.171  -0.01
F 0.790 0.043 0.329  -0.01

Properties
Space group: P2_1/c, No. 14
Fermi-level density of states, states/eV per cell: 5.7
Formation energy (no corrections), eV per atom: -2.848
VASP energy, eV per atom: -5.4945
Energy above the lowest structure with this stoichiometry, meV/atom: 0


(11)
The following is a DFT calculation (PBE-GGA) of a geometry-optimized TiZnF6 structure.

Lattice parameters (Å, degrees): 5.093 5.093 9.366 90.00 90.00 120.00
Atoms (fractional coordinates):
Ti 0.000 0.000 0.500
Ti 0.000 0.000 0.000
Zn 0.333 0.667 0.250
Zn 0.667 0.333 0.750
F 0.281 0.321 0.383
F 0.719 0.679 0.617
F 0.041 0.719 0.383
F 0.281 0.959 0.117
F 0.959 0.281 0.617
F 0.719 0.041 0.883
F 0.679 0.959 0.383
F 0.041 0.321 0.117
F 0.321 0.041 0.617
F 0.959 0.679 0.883
F 0.679 0.719 0.117
F 0.321 0.281 0.883

Properties
Space group: P-31c, No. 163
Fermi-level density of states, states/eV per cell: 0.0
Formation energy (no corrections), eV per atom: -2.986
VASP energy, eV per atom: -5.5361


(12)
The following is a DFT calculation (PBE-GGA) of a geometry-optimized TiZn3F structure.

Lattice parameters (Å, degrees): 4.335 4.335 4.335 90.00 90.00 90.00
Last column: magnetic moment on the atom in μB.
Atoms (fractional coordinates):
Zn 0.000 0.500 0.000  0.03
Zn 0.000 0.000 0.500  0.01
Zn 0.500 0.000 0.000  0.03
F 0.000 0.000 0.000  0.02
Ti 0.500 0.500 0.500  1.16

Properties
Space group: Pm-3m, No. 221
Fermi-level density of states, states/eV per cell: 3.0
Formation energy (no corrections), eV per atom: -0.140
VASP energy, eV per atom: -2.8580
Energy above the lowest structure with this stoichiometry, meV/atom: 0